(1)
ReSiAg2 | PBE | optimized geometry

a = 6.293 Å, b = 6.293 Å, c = 6.293 Å
α = 90.00°, β = 90.00°, γ = 90.00°
Space group F-43m (No. 216)
Unique sites:
Re1 0.000 0.000 0.000 x4
Si1 0.250 0.250 0.750 x4
Ag1 0.000 0.000 0.500 x4
Ag2 0.250 0.250 0.250 x4

Values from the calculation:
- DFT total energy: -5.34 eV/atom
- D(E_F): 3.231 states/eV/f.u.
- Uncorrected formation energy: 0.558 eV per atom
- Magnetic moment: 0.001 μB per cell

---

(2)
ReSiAg2 | PBE | optimized geometry

a = 2.754 Å, b = 5.147 Å, c = 4.558 Å
α = 90.00°, β = 92.11°, γ = 90.00°
Space group P2/m (No. 10)
Unique sites:
Re1 0.000 0.000 0.000 x1
Si1 0.500 0.000 0.500 x1
Ag1 0.263 0.500 0.751 x2

Values from the calculation:
- DFT total energy: -5.43 eV/atom
- D(E_F): 1.819 states/eV/f.u.
- Uncorrected formation energy: 0.468 eV per atom
- Magnetic moment: 0.000 μB per cell